# 1
! KLaSb2 (PBEsol, relaxed); values from VASP
&SYSTEM
  ibrav = 0, nat = 4, ntyp = 3
/
ATOMIC_SPECIES
K 39.10 K.upf
La 138.91 La.upf
Sb 121.76 Sb.upf
CELL_PARAMETERS angstrom
3.590 0.030 0.000
-0.035 3.590 0.000
0.000 0.000 9.519
ATOMIC_POSITIONS crystal
K 0.500 0.500 0.500
La 0.500 0.500 0.000
Sb 0.000 0.000 0.233
Sb 0.000 0.000 0.767
! Total magnetic moment: 0.0 μB/cell
! E above lowest polymorph: 0.061 eV per atom
! SG: P4/mmm, No. 123

# 2
! BaIn (PBEsol, relaxed); values from VASP
&SYSTEM
  ibrav = 0, nat = 4, ntyp = 2
/
ATOMIC_SPECIES
Ba 137.33 Ba.upf
In 114.82 In.upf
CELL_PARAMETERS angstrom
-5.141 -0.189 0.446
-0.424 -0.535 -5.119
3.017 -4.782 2.854
ATOMIC_POSITIONS crystal
Ba 0.250 0.750 0.500
Ba 0.000 0.000 0.000
In 0.750 0.250 0.500
In 0.500 0.500 0.000
! Total magnetic moment: 0.0 μB/cell
! Uncorrected energy: -11.4 eV/cell
! SG: I4_1/amd, No. 141

# 3
! ZrSc2Al (PBEsol, relaxed); values from VASP
&SYSTEM
  ibrav = 0, nat = 4, ntyp = 3
/
ATOMIC_SPECIES
Sc 44.96 Sc.upf
Al 26.98 Al.upf
Zr 91.22 Zr.upf
CELL_PARAMETERS angstrom
-1.746 -1.348 2.312
-2.914 -1.102 -2.843
2.925 -5.364 -0.918
ATOMIC_POSITIONS crystal
Sc 0.000 0.000 0.992
Sc 0.500 0.500 0.258
Al 0.500 0.500 0.746
Zr 0.000 0.000 0.504
! Total magnetic moment: 0.0 μB/cell
! Uncorrected energy: -27.2 eV/cell
! SG: Pmm2, No. 25

# 4
! LiY2SiHg (PBEsol, relaxed); values from VASP
&SYSTEM
  ibrav = 0, nat = 5, ntyp = 4
/
ATOMIC_SPECIES
Y 88.91 Y.upf
Si 28.09 Si.upf
Hg 200.59 Hg.upf
Li 6.94 Li.upf
CELL_PARAMETERS angstrom
4.225 0.000 0.000
0.000 5.157 0.000
0.000 0.000 5.157
ATOMIC_POSITIONS crystal
Y 0.000 0.000 0.500
Y 0.000 0.500 0.000
Si 0.500 0.000 0.000
Hg 0.500 0.500 0.500
Li 0.000 0.000 0.000
! Total magnetic moment: 1.0 μB/cell
! Uncorrected energy: -21.7 eV/cell
! SG: P4/mmm, No. 123

# 5
! SiSe2Br (PBEsol, relaxed); values from VASP
&SYSTEM
  ibrav = 0, nat = 4, ntyp = 3
/
ATOMIC_SPECIES
Si 28.09 Si.upf
Se 78.96 Se.upf
Br 79.90 Br.upf
CELL_PARAMETERS angstrom
-2.078 2.888 -1.420
-0.096 -1.745 -3.409
-3.823 -3.340 3.971
ATOMIC_POSITIONS crystal
Si 0.500 0.500 0.000
Se 0.750 0.250 0.500
Se 0.250 0.750 0.500
Br 0.000 0.000 0.000
! Total magnetic moment: 0.0 μB/cell
! E above lowest polymorph: 0.035 eV per atom
! SG: I4/mmm, No. 139

# 6
! H2Rh2Pb (PBEsol, relaxed); values from VASP
&SYSTEM
  ibrav = 0, nat = 5, ntyp = 3
/
ATOMIC_SPECIES
Pb 207.20 Pb.upf
H 1.01 H.upf
Rh 102.91 Rh.upf
CELL_PARAMETERS angstrom
3.305 0.000 0.000
0.000 3.305 0.000
-1.652 -1.652 5.082
ATOMIC_POSITIONS crystal
Pb 0.000 0.000 0.000
H 0.250 0.750 0.500
H 0.750 0.250 0.500
Rh 0.342 0.342 0.685
Rh 0.658 0.658 0.315
! Total magnetic moment: 0.0 μB/cell
! Uncorrected energy: -26.8 eV/cell
! SG: I4/mmm, No. 139

# 7
! Li2SiSe (PBEsol, relaxed); values from VASP
&SYSTEM
  ibrav = 0, nat = 4, ntyp = 3
/
ATOMIC_SPECIES
Si 28.09 Si.upf
Se 78.96 Se.upf
Li 6.94 Li.upf
CELL_PARAMETERS angstrom
-0.524 3.392 1.932
-3.657 -1.108 0.952
3.500 -2.865 1.967
ATOMIC_POSITIONS crystal
Si 0.000 0.000 0.000
Se 0.500 0.500 0.000
Li 0.750 0.250 0.500
Li 0.250 0.750 0.500
! Total magnetic moment: 0.0 μB/cell
! E above lowest polymorph: 0.016 eV per atom
! SG: I4/mmm, No. 139

# 8
! ScZn2Ru (PBEsol, relaxed); values from VASP
&SYSTEM
  ibrav = 0, nat = 4, ntyp = 3
/
ATOMIC_SPECIES
Ru 101.07 Ru.upf
Sc 44.96 Sc.upf
Zn 65.41 Zn.upf
CELL_PARAMETERS angstrom
3.016 0.000 0.000
0.000 3.760 0.000
0.000 0.000 5.265
ATOMIC_POSITIONS crystal
Ru 0.500 0.500 0.000
Sc 0.500 0.500 0.500
Zn 0.000 0.000 0.772
Zn 0.000 0.000 0.228
! Total magnetic moment: 0.0 μB/cell
! Uncorrected energy: -20.9 eV/cell
! SG: Pmmm, No. 47

# 9
! MoP2 (PBEsol, relaxed); values from VASP
&SYSTEM
  ibrav = 0, nat = 6, ntyp = 2
/
ATOMIC_SPECIES
P 30.97 P.upf
Mo 95.94 Mo.upf
CELL_PARAMETERS angstrom
-2.441 1.429 -1.322
-2.744 -0.995 3.992
2.804 4.109 2.952
ATOMIC_POSITIONS crystal
P 0.297 0.199 0.593
P 0.703 0.699 0.407
P 0.430 0.882 0.860
P 0.570 0.382 0.140
Mo 0.093 0.999 0.187
Mo 0.907 0.499 0.813
! Total magnetic moment: 0.0 μB/cell
! Uncorrected energy: -50.3 eV/cell
! SG: Cmc2_1, No. 36

# 10
! Cd3Ag (PBEsol, relaxed); values from VASP
&SYSTEM
  ibrav = 0, nat = 4, ntyp = 2
/
ATOMIC_SPECIES
Ag 107.87 Ag.upf
Cd 112.41 Cd.upf
CELL_PARAMETERS angstrom
3.117 0.000 0.000
0.000 4.723 0.000
0.000 0.000 5.190
ATOMIC_POSITIONS crystal
Ag 0.000 0.000 0.998
Cd 0.000 0.500 0.328
Cd 0.500 0.000 0.499
Cd 0.500 0.500 0.841
! Total magnetic moment: 0.0 μB/cell
! Uncorrected energy: -7.1 eV/cell
! SG: Pmm2, No. 25

# 11
! Li4Ti3MnO8 (PBEsol, relaxed); values from VASP
&SYSTEM
  ibrav = 0, nat = 16, ntyp = 4
/
ATOMIC_SPECIES
Li 6.94 Li.upf
Ti 47.87 Ti.upf
Mn 54.94 Mn.upf
O 16.00 O.upf
CELL_PARAMETERS angstrom
5.691 0.000 0.000
2.845 4.928 0.000
2.845 1.643 4.909
ATOMIC_POSITIONS crystal
Li 0.500 0.500 0.500
Li 0.000 0.000 0.500
Li 0.000 0.500 0.500
Li 0.500 0.000 0.500
Ti 0.500 0.500 0.000
Ti 0.500 0.000 0.000
Ti 0.000 0.500 0.000
Mn 0.000 0.000 0.000
O 0.746 0.746 0.763
O 0.247 0.247 0.761
O 0.247 0.745 0.761
O 0.254 0.254 0.237
O 0.745 0.247 0.761
O 0.753 0.753 0.239
O 0.753 0.255 0.239
O 0.255 0.753 0.239
! Total magnetic moment: 0.6 μB/cell
! Uncorrected energy: -123.9 eV/cell
! SG: R-3m, No. 166

# 12
! RbSi2Pt (PBEsol, relaxed); values from VASP
&SYSTEM
  ibrav = 0, nat = 4, ntyp = 3
/
ATOMIC_SPECIES
Si 28.09 Si.upf
Rb 85.47 Rb.upf
Pt 195.08 Pt.upf
CELL_PARAMETERS angstrom
4.682 0.000 0.000
2.341 4.055 0.000
2.341 1.352 3.823
ATOMIC_POSITIONS crystal
Si 0.250 0.250 0.250
Si 0.750 0.750 0.750
Rb 0.000 0.000 0.000
Pt 0.500 0.500 0.500
! Total magnetic moment: 0.0 μB/cell
! Uncorrected energy: -17.4 eV/cell
! SG: Fm-3m, No. 225

# 13
! CrB3Br (PBEsol, relaxed); values from VASP
&SYSTEM
  ibrav = 0, nat = 5, ntyp = 3
/
ATOMIC_SPECIES
Cr 52.00 Cr.upf
B 10.81 B.upf
Br 79.90 Br.upf
CELL_PARAMETERS angstrom
4.089 0.000 0.000
0.000 4.089 0.000
0.000 0.000 4.089
ATOMIC_POSITIONS crystal
Cr 0.000 0.000 0.000
B 0.000 0.500 0.000
B 0.000 0.000 0.500
B 0.500 0.000 0.000
Br 0.500 0.500 0.500
! Total magnetic moment: 2.5 μB/cell
! Uncorrected energy: -24.8 eV/cell
! SG: Pm-3m, No. 221

# 14
! CsAgS3 (PBEsol, relaxed); values from VASP
&SYSTEM
  ibrav = 0, nat = 5, ntyp = 3
/
ATOMIC_SPECIES
Cs 132.91 Cs.upf
S 32.06 S.upf
Ag 107.87 Ag.upf
CELL_PARAMETERS angstrom
-3.862 1.559 2.641
2.319 -1.295 4.155
2.007 4.496 0.281
ATOMIC_POSITIONS crystal
Cs 0.500 0.500 0.500
S 0.000 0.500 0.000
S 0.000 0.000 0.500
S 0.500 0.000 0.000
Ag 0.000 0.000 0.000
! Total magnetic moment: 0.0 μB/cell
! Uncorrected energy: -17.1 eV/cell
! SG: Pm-3m, No. 221

# 15
! Mg3Al18Mo2 (PBEsol, relaxed); values from VASP
&SYSTEM
  ibrav = 0, nat = 46, ntyp = 3
/
ATOMIC_SPECIES
Mg 24.30 Mg.upf
Al 26.98 Al.upf
Mo 95.94 Mo.upf
CELL_PARAMETERS angstrom
-6.631 5.084 6.044
-8.723 3.804 -3.973
-9.066 -4.265 2.439
ATOMIC_POSITIONS crystal
Mg 0.125 0.125 0.125
Mg 0.125 0.125 0.625
Mg 0.125 0.625 0.125
Mg 0.625 0.125 0.125
Mg 0.000 0.000 0.000
Mg 0.250 0.250 0.250
Al 0.642 0.642 0.358
Al 0.358 0.358 0.642
Al 0.642 0.358 0.642
Al 0.358 0.642 0.358
Al 0.642 0.358 0.358
Al 0.358 0.642 0.642
Al 0.608 0.608 0.892
Al 0.892 0.892 0.608
Al 0.608 0.892 0.608
Al 0.892 0.608 0.892
Al 0.608 0.892 0.892
Al 0.892 0.608 0.608
Al 0.330 0.802 0.802
Al 0.802 0.330 0.067
Al 0.802 0.067 0.330
Al 0.067 0.802 0.802
Al 0.330 0.067 0.802
Al 0.802 0.802 0.330
Al 0.802 0.802 0.067
Al 0.067 0.330 0.802
Al 0.330 0.802 0.067
Al 0.802 0.067 0.802
Al 0.802 0.330 0.802
Al 0.067 0.802 0.330
Al 0.920 0.448 0.448
Al 0.448 0.920 0.183
Al 0.448 0.183 0.920
Al 0.183 0.448 0.448
Al 0.920 0.183 0.448
Al 0.448 0.448 0.920
Al 0.448 0.448 0.183
Al 0.183 0.920 0.448
Al 0.920 0.448 0.183
Al 0.448 0.183 0.448
Al 0.448 0.920 0.448
Al 0.183 0.448 0.920
Mo 0.625 0.625 0.625
Mo 0.625 0.625 0.125
Mo 0.625 0.125 0.625
Mo 0.125 0.625 0.625
! Total magnetic moment: 0.0 μB/cell
! Uncorrected energy: -211.3 eV/cell
! SG: Fd-3m, No. 227

# 16
! TlSi3 (PBEsol, relaxed); values from VASP
&SYSTEM
  ibrav = 0, nat = 4, ntyp = 2
/
ATOMIC_SPECIES
Si 28.09 Si.upf
Tl 204.38 Tl.upf
CELL_PARAMETERS angstrom
4.191 0.000 0.000
0.000 4.191 0.000
0.000 0.000 4.191
ATOMIC_POSITIONS crystal
Si 0.000 0.500 0.500
Si 0.500 0.000 0.500
Si 0.500 0.500 0.000
Tl 0.000 0.000 0.000
! Total magnetic moment: 0.0 μB/cell
! E above lowest polymorph: 0.011 eV per atom
! SG: Pm-3m, No. 221

# 17
! ZnCI2O (PBEsol, relaxed); values from VASP
&SYSTEM
  ibrav = 0, nat = 5, ntyp = 4
/
ATOMIC_SPECIES
I 126.90 I.upf
Zn 65.41 Zn.upf
C 12.01 C.upf
O 16.00 O.upf
CELL_PARAMETERS angstrom
3.578 0.000 0.000
0.000 5.534 0.000
0.000 0.000 5.534
ATOMIC_POSITIONS crystal
I 0.000 0.000 0.500
I 0.000 0.500 0.000
Zn 0.000 0.000 0.000
C 0.500 0.500 0.500
O 0.500 0.000 0.000
! Total magnetic moment: 0.2 μB/cell
! E above lowest polymorph: 0.355 eV per atom
! SG: P4/mmm, No. 123

# 18
! CaMoSN2 (PBEsol, relaxed); values from VASP
&SYSTEM
  ibrav = 0, nat = 5, ntyp = 4
/
ATOMIC_SPECIES
S 32.06 S.upf
Mo 95.94 Mo.upf
Ca 40.08 Ca.upf
N 14.01 N.upf
CELL_PARAMETERS angstrom
-1.048 -1.553 3.787
-2.728 -2.649 -1.841
3.688 -3.507 -0.418
ATOMIC_POSITIONS crystal
S 0.000 0.000 0.500
Mo 0.500 0.500 0.500
Ca 0.000 0.000 0.000
N 0.000 0.500 0.000
N 0.500 0.000 0.000
! Total magnetic moment: 0.0 μB/cell
! Uncorrected energy: -26.8 eV/cell
! SG: P4/mmm, No. 123

# 19
! LiZnHg2 (PBEsol, relaxed); values from VASP
&SYSTEM
  ibrav = 0, nat = 4, ntyp = 3
/
ATOMIC_SPECIES
Zn 65.41 Zn.upf
Hg 200.59 Hg.upf
Li 6.94 Li.upf
CELL_PARAMETERS angstrom
-0.819 -4.532 -0.866
0.123 -3.114 3.500
-3.966 -1.994 1.504
ATOMIC_POSITIONS crystal
Zn 0.750 0.750 0.750
Hg 0.000 0.000 0.000
Hg 0.250 0.250 0.250
Li 0.500 0.500 0.500
! Total magnetic moment: 0.0 μB/cell
! Uncorrected energy: -5.3 eV/cell
! SG: F-43m, No. 216

# 20
! Cd2Sn2Bi (PBEsol, relaxed); values from VASP
&SYSTEM
  ibrav = 0, nat = 5, ntyp = 3
/
ATOMIC_SPECIES
Cd 112.41 Cd.upf
Bi 208.98 Bi.upf
Sn 118.71 Sn.upf
CELL_PARAMETERS angstrom
-2.517 -2.761 -2.400
3.507 -0.994 -2.535
1.080 -3.174 6.628
ATOMIC_POSITIONS crystal
Cd 0.400 0.400 0.801
Cd 0.600 0.600 0.199
Bi 0.000 0.000 0.000
Sn 0.250 0.750 0.500
Sn 0.750 0.250 0.500
! Total magnetic moment: 0.0 μB/cell
! E above lowest polymorph: 0.071 eV per atom
! SG: I4/mmm, No. 139